DFT (GGA-PBE) results for a relaxed structure of SrRhW2.

SG = No. 12
ΔE_f = 0.594 eV/atom
M_tot = 0.000 μB per atom
DFT total energy = -8.140 eV per atom
energy above the lowest structure with this stoichiometry = 0.049 eV per atom

Cell lengths 6.2803, 6.2803, 4.9819 Å; angles 66.71, 66.71, 25.64 degrees
Closest atoms and distances in Å follow each position.
Element x y z (fractional)
1 Rh 0.7500 0.7500 0.7500  4 W 2.73, 2 Rh 2.79, 4 Sr 2.85
2 Sr 0.2500 0.2500 0.2500  2 Sr 2.79, 4 Rh 2.85
3 W 0.0406 0.0406 0.9595  2 Rh 2.73, 6 W 2.79-3.00
4 W 0.4594 0.4594 0.5405  2 Rh 2.73, 6 W 2.79-3.00